Record 1
Entry from Alexandria via LeMat-Bulk: a relaxed Pr2MgZn crystal (GGA-PBE).

abc: 5.3803 5.3803 5.3803
angles: 60.00 60.00 60.00
Element x y z (fractional)
Pr (0.2500, 0.2500, 0.2500)
Pr (0.7500, 0.7500, 0.7500)
Mg (0.0000, 0.0000, 0.0000)
Zn (0.5000, 0.5000, 0.5000)

Computed properties:
Theoretical density in g cm⁻³: 5.602
Volume in Å³ per atom: 27.5
Crystal system: cubic

=====

Record 2
Entry from Alexandria via LeMat-Bulk: a relaxed PrMgZn crystal (GGA-PBE).

abc: 4.9574 4.9574 3.4633
angles: 90.00 90.00 120.00
Element x y z (fractional)
Pr (0.0000, 0.0000, 0.0000)
Mg (0.3333, 0.6667, 0.5000)
Zn (0.6667, 0.3333, 0.5000)

Computed properties:
Theoretical density in g cm⁻³: 5.195
Volume in Å³ per atom: 24.6
Crystal system: hexagonal

=====

Record 3
Entry from Alexandria via LeMat-Bulk: a relaxed PrMgZn11 crystal (GGA-PBE).

abc: 6.8787 6.8787 6.8994
angles: 98.77 98.77 133.71
Element x y z (fractional)
Pr (0.0000, 0.0000, 0.0000)
Mg (0.0000, 0.0000, 0.5000)
Zn (0.0000, 0.5000, 0.0000)
Zn (0.0056, 0.3647, 0.3524)
Zn (0.2859, 0.5079, 0.7844)
Zn (0.3647, 0.0056, 0.3524)
Zn (0.4921, 0.7141, 0.2156)
Zn (0.5000, 0.0000, 0.0000)
Zn (0.5000, 0.5000, 0.5000)
Zn (0.5079, 0.2859, 0.7844)
Zn (0.6353, 0.9944, 0.6476)
Zn (0.7141, 0.4921, 0.2156)
Zn (0.9944, 0.6353, 0.6476)

Computed properties:
Theoretical density in g cm⁻³: 6.754
Volume in Å³ per atom: 16.7
Crystal system: monoclinic

=====

Record 4
Entry from Alexandria via LeMat-Bulk: a relaxed PrMgZn crystal (GGA-PBE).

abc: 4.8652 4.8652 4.8652
angles: 60.00 60.00 60.00
Element x y z (fractional)
Pr (0.0000, 0.0000, 0.0000)
Mg (0.5000, 0.5000, 0.5000)
Zn (0.7500, 0.7500, 0.7500)

Computed properties:
Theoretical density in g cm⁻³: 4.703
Volume in Å³ per atom: 27.1
Crystal system: cubic

=====

Record 5
Entry from Alexandria via LeMat-Bulk: a relaxed Pr2Mg2Zn15 crystal (GGA-PBE).

abc: 6.9423 6.9423 6.9423
angles: 82.56 82.56 82.56
Element x y z (fractional)
Pr (0.1590, 0.1590, 0.1590)
Pr (0.8410, 0.8410, 0.8410)
Mg (0.3970, 0.3970, 0.3970)
Mg (0.6030, 0.6030, 0.6030)
Zn (0.0000, 0.5000, 0.5000)
Zn (0.1471, 0.1471, 0.6610)
Zn (0.1471, 0.6610, 0.1471)
Zn (0.2075, 0.5000, 0.7925)
Zn (0.2075, 0.7925, 0.5000)
Zn (0.3390, 0.8529, 0.8529)
Zn (0.5000, 0.0000, 0.5000)
Zn (0.5000, 0.2075, 0.7925)
Zn (0.5000, 0.5000, 0.0000)
Zn (0.5000, 0.7925, 0.2075)
Zn (0.6610, 0.1471, 0.1471)
Zn (0.7925, 0.2075, 0.5000)
Zn (0.7925, 0.5000, 0.2075)
Zn (0.8529, 0.3390, 0.8529)
Zn (0.8529, 0.8529, 0.3390)

Computed properties:
Theoretical density in g cm⁻³: 6.664
Volume in Å³ per atom: 17.2
Crystal system: trigonal

=====

Record 6
Entry from Alexandria via LeMat-Bulk: a relaxed Pr6Mg5Zn crystal (GGA-PBE).

abc: 5.4707 7.7843 8.6561
angles: 90.00 108.33 90.00
Element x y z (fractional)
Pr (0.0000, 0.2395, 0.0000)
Pr (0.0000, 0.7605, 0.0000)
Pr (0.3385, 0.2445, 0.6760)
Pr (0.3385, 0.7555, 0.6760)
Pr (0.6615, 0.2445, 0.3240)
Pr (0.6615, 0.7555, 0.3240)
Mg (0.1678, 0.5000, 0.3368)
Mg (0.1712, 0.0000, 0.3439)
Mg (0.5000, 0.5000, 0.0000)
Mg (0.8288, 0.0000, 0.6561)
Mg (0.8322, 0.5000, 0.6632)
Zn (0.5000, 0.0000, 0.0000)

Computed properties:
Theoretical density in g cm⁻³: 4.899
Volume in Å³ per atom: 29.2
Crystal system: monoclinic

=====

The records above give, respectively, ΔH_f (0 K) values of -0.18 -0.19 -0.18 -0.11 -0.25 -0.14 eV/atom.